[1]
This record from the Alexandria database describes a geometry-optimized PuInCoTc structure. The functional is GGA-PBE.

Output
final energy: -8.59 eV per atom

Cell lengths 6.536, 6.536, 6.536 Å; angles 90.00, 90.00, 90.00 degrees
Space group F-43m (No. 216)
Asymmetric unit:
Pu 0.000 0.000 0.000 (multiplicity 4)
In 0.000 0.000 0.500 (multiplicity 4)
Co 0.250 0.250 0.750 (multiplicity 4)
Tc 0.250 0.250 0.250 (multiplicity 4)

***

[2]
This record from the Alexandria database describes a geometry-optimized Rb2SnH6Au structure. The functional is GGA-PBE.

Output
final energy: -2.94 eV per atom

Cell lengths 8.233, 8.247, 5.912 Å; angles 90.00, 134.03, 90.00 degrees
Space group C2/m (No. 12)
Asymmetric unit:
Rb 0.000 0.250 0.000 (multiplicity 4)
Sn 0.000 0.000 0.500 (multiplicity 2)
H 0.000 0.272 0.500 (multiplicity 4)
H 0.226 0.500 0.500 (multiplicity 4)
H 0.237 0.500 0.973 (multiplicity 4)
Au 0.000 0.500 0.500 (multiplicity 2)